Record 1
The following is a DFT calculation (PBE) of crystalline Tm3UCo8 at its relaxed geometry.

Computed properties:
Magnetic moment, μB per atom: 0.393

Lattice parameters (Å, degrees): 5.0023 5.0023 24.4716 90.00 90.00 120.00
Space group R3m (No. 160, hexagonal axes)
Asymmetric unit:
Tm 0.0000 0.0000 0.0000 [3 per cell]
Tm 0.0000 0.0000 0.1248 [3 per cell]
Tm 0.0000 0.0000 0.4985 [3 per cell]
U 0.0000 0.0000 0.6240 [3 per cell]
Co 0.0000 0.0000 0.3119 [3 per cell]
Co 0.0000 0.0000 0.8115 [3 per cell]
Co 0.0009 0.5005 0.5627 [9 per cell]
Co 0.1675 0.3350 0.3942 [9 per cell]


Record 2
The following is a DFT calculation (PBE) of crystalline Tm2V2Co15 at its relaxed geometry.

Computed properties:
Magnetic moment, μB per atom: 0.963

Lattice parameters (Å, degrees): 8.2815 8.2815 12.1425 90.00 90.00 120.00
Space group R-3m (No. 166, hexagonal axes)
Asymmetric unit:
Tm 0.0000 0.0000 0.1524 [6 per cell]
V 0.0000 0.0000 0.4036 [6 per cell]
Co 0.0000 0.2942 0.5000 [18 per cell]
Co 0.0000 0.5000 0.0000 [9 per cell]
Co 0.0009 0.5004 0.3471 [18 per cell]


Record 3
The following is a DFT calculation (PBE) of crystalline TmV2Co at its relaxed geometry.

Computed properties:
Magnetic moment, μB per atom: 0.000

Lattice parameters (Å, degrees): 6.2065 6.2065 6.2065 90.00 90.00 90.00
Space group Fm-3m (No. 225)
Asymmetric unit:
Tm 0.0000 0.0000 0.0000 [4 per cell]
V 0.2500 0.2500 0.2500 [8 per cell]
Co 0.0000 0.0000 0.5000 [4 per cell]


Record 4
The following is a DFT calculation (PBE) of crystalline TmVCo4 at its relaxed geometry.

Computed properties:
Magnetic moment, μB per atom: 0.338

Lattice parameters (Å, degrees): 6.8637 6.8637 6.8637 90.00 90.00 90.00
Space group F-43m (No. 216)
Asymmetric unit:
Tm 0.0000 0.0000 0.0000 [4 per cell]
V 0.2500 0.2500 0.7500 [4 per cell]
Co 0.1250 0.1250 0.3750 [16 per cell]


Record 5
The following is a DFT calculation (PBE) of crystalline TmVCo at its relaxed geometry.

Computed properties:
Magnetic moment, μB per atom: 0.000

Lattice parameters (Å, degrees): 3.3009 4.2362 7.3881 90.00 90.00 90.00
Space group Pmmn (No. 59, origin choice 2)
Asymmetric unit:
Tm 0.2500 0.2500 0.1562 [2 per cell]
V 0.2500 0.7500 0.4868 [2 per cell]
Co 0.2500 0.2500 0.7297 [2 per cell]


Record 6
The following is a DFT calculation (PBE) of crystalline TmCoW at its relaxed geometry.

Computed properties:
Magnetic moment, μB per atom: 0.000

Lattice parameters (Å, degrees): 3.7566 3.7566 15.5981 90.00 90.00 90.00
Space group I4/mmm (No. 139)
Asymmetric unit:
Tm 0.0000 0.0000 0.1728 [4 per cell]
Co 0.0000 0.0000 0.3821 [4 per cell]
W 0.0000 0.5000 0.0000 [4 per cell]


| no. | energy of formation (meV per atom) |
| --- | --- |
| 1 | -216 |
| 2 | -134 |
| 3 | 429 |
| 4 | -73 |
| 5 | -105 |
| 6 | 83 |